DFT (GGA+U) results for crystalline CoPd2O4 at its relaxed geometry.

```
CoPd2O4
1.0
-3.052 3.153 4.355
3.052 -3.153 4.355
3.052 3.153 -4.355
Co Pd O
2 4 8
Direct
0.500 0.000 0.000
0.500 0.500 0.500
0.000 0.000 0.000
0.115 0.365 0.750
0.500 0.000 0.500
0.885 0.635 0.250
0.255 0.225 0.470
0.255 0.785 0.030
0.274 0.235 0.039
0.303 0.765 0.539
0.697 0.235 0.461
0.726 0.765 0.961
0.745 0.215 0.970
0.745 0.775 0.530
```

Values from the calculation:
* DFT total energy: -5.50 eV/atom
* relative energy among the computed polymorphs: 0.000 eV per atom

---

DFT (GGA+U) results for crystalline CoPdO3 at its relaxed geometry.

```
CoPdO3
1.0
3.882 0.000 0.000
0.000 3.882 0.000
0.000 0.000 3.882
Co Pd O
1 1 3
Direct
0.000 0.000 0.000
0.500 0.500 0.500
0.000 0.500 0.500
0.500 0.000 0.500
0.500 0.500 0.000
```

Values from the calculation:
* DFT total energy: -4.82 eV/atom

---

DFT (GGA+U) results for crystalline CoPdO3 at its relaxed geometry.

```
CoPdO3
1.0
3.709 0.000 0.000
0.000 3.709 0.000
0.000 0.000 3.709
Co Pd O
1 1 3
Direct
0.000 0.000 0.000
0.500 0.500 0.500
0.000 0.000 0.500
0.000 0.500 0.000
0.500 0.000 0.000
```

Values from the calculation:
* DFT total energy: -5.02 eV/atom

---

DFT (GGA+U) results for crystalline CoPdO3 at its relaxed geometry.

```
CoPdO3
1.0
2.521 -4.212 0.000
2.521 4.212 0.000
-2.426 0.000 5.096
Co Pd O
2 2 6
Direct
0.170 0.830 0.000
0.830 0.170 0.000
0.334 0.334 0.618
0.666 0.666 0.382
0.023 0.023 0.785
0.222 0.596 0.204
0.404 0.778 0.796
0.596 0.222 0.204
0.778 0.404 0.796
0.977 0.977 0.215
```

Values from the calculation:
* DFT total energy: -5.46 eV/atom

---

Which of these has the highest DFT total energy?
number 2

---

Which value of DFT total energy does entry 3 give?
-5.02 eV/atom

---

What is the DFT total energy in the fourth record?
-5.46 eV/atom